[1]
Below is a relaxed structure of KMgBr2Cl, with properties calculated at the PBE level.

## Properties
Total DFT energy (no corrections), eV/atom: -3.242
Size of the total moment, μB per formula unit: 0.00
Uncorrected formation energy, eV per atom: -1.6654

abc: 8.593 4.117 8.735
angles: 90.00 101.55 90.00
Space group P2_1/m (No. 11)
Unique sites:
K  0.192  0.250  0.362 x2
Mg  0.349  0.250  0.830 x2
Br  0.332  0.750  0.044 x2
Br  0.407  0.750  0.642 x2
Cl  0.073  0.250  0.718 x2


[2]
Below is a relaxed structure of KMgBrCl2, with properties calculated at the PBE level.

## Properties
Total DFT energy (no corrections), eV/atom: -3.331
Size of the total moment, μB per formula unit: 0.00
Uncorrected formation energy, eV per atom: -1.7197

abc: 4.223 16.387 8.229
angles: 90.00 90.00 90.00
Space group Cmcm (No. 63)
Unique sites:
K  0.000  0.212  0.250 x4
Mg  0.000  0.500  0.000 x4
Br  0.000  0.002  0.750 x4
Cl  0.000  0.357  0.503 x8


Copy entry 2 word for word.
Below is a relaxed structure of KMgBrCl2, with properties calculated at the PBE level.

## Properties
Total DFT energy (no corrections), eV/atom: -3.331
Size of the total moment, μB per formula unit: 0.00
Uncorrected formation energy, eV per atom: -1.7197

abc: 4.223 16.387 8.229
angles: 90.00 90.00 90.00
Space group Cmcm (No. 63)
Unique sites:
K  0.000  0.212  0.250 x4
Mg  0.000  0.500  0.000 x4
Br  0.000  0.002  0.750 x4
Cl  0.000  0.357  0.503 x8


Question: Which value of total DFT energy (no corrections) does entry 1 give?
Answer: -3.242 eV/atom